Density functional theory data (PBE) for a relaxed structure of CaSiNiN.

Lattice parameters (Å, degrees): 3.623 3.623 8.658 90.00 90.00 90.00
Space group P4/nmm (No. 129, origin choice 2)
Unique sites:
Ca 0.250 0.250 0.137
Si 0.250 0.250 0.664
Ni 0.250 0.750 0.500
N 0.250 0.250 0.860

Properties
DOS(E_F) (states/eV/atom): 0.228
Final energy (eV per atom): -6.285

Density functional theory data (PBE) for a relaxed structure of Ca2SiNiN.

Lattice parameters (Å, degrees): 5.485 5.485 4.161 90.00 90.00 90.00
Space group P4/mmm (No. 123)
Unique sites:
Ca 0.000 0.500 0.000
Si 0.000 0.000 0.000
Ni 0.000 0.000 0.500
N 0.500 0.500 0.500

Properties
DOS(E_F) (states/eV/atom): 0.692
Final energy (eV per atom): -4.095

Density functional theory data (PBE) for a relaxed structure of Ca4Ta3NiN8.

Lattice parameters (Å, degrees): 6.3916 6.3916 16.5192 90.00 90.00 120.00
Space group R-3m (No. 166, hexagonal axes)
Unique sites:
Ca 0.0000 0.0000 0.0000
Ca 0.0000 0.5000 0.0000
Ta 0.0000 0.5000 0.5000
Ni 0.0000 0.0000 0.5000
N 0.0000 0.0000 0.2378
N 0.0150 0.5075 0.7635

Properties
DOS(E_F) (states/eV/atom): 0.143
Final energy (eV per atom): -8.255

Density functional theory data (PBE) for a relaxed structure of CaTa2NiN4.

Lattice parameters (Å, degrees): 3.144 10.584 10.876 90.00 90.00 90.00
Space group Cmcm (No. 63)
Unique sites:
Ca 0.000 0.108 0.250
Ta 0.000 0.369 0.059
Ni 0.000 0.162 0.750
N 0.000 0.000 0.000
N 0.000 0.269 0.606
N 0.000 0.445 0.250

Properties
DOS(E_F) (states/eV/atom): 0.312
Final energy (eV per atom): -9.026

Density functional theory data (PBE) for a relaxed structure of CaTaNiN3.

Lattice parameters (Å, degrees): 6.651 3.190 7.376 90.00 104.90 90.00
Space group P2_1/m (No. 11)
Unique sites:
Ca 0.202 0.250 0.224
Ta 0.324 0.750 0.854
Ni 0.110 0.250 0.585
N 0.126 0.250 0.863
N 0.222 0.750 0.528
N 0.445 0.750 0.142

Properties
DOS(E_F) (states/eV/atom): 0.520
Final energy (eV per atom): -8.100

Density functional theory data (PBE) for a relaxed structure of CaTcNiN2.

Lattice parameters (Å, degrees): 3.870 3.870 4.617 90.00 90.00 90.00
Space group P4/mmm (No. 123)
Unique sites:
Ca 0.000 0.000 0.000
Tc 0.500 0.500 0.000
Ni 0.000 0.000 0.500
N 0.000 0.500 0.500

Properties
DOS(E_F) (states/eV/atom): 0.796
Final energy (eV per atom): -5.323

Density functional theory data (PBE) for a relaxed structure of Ca2NiTeN.

Lattice parameters (Å, degrees): 5.181 5.181 3.700 90.00 90.00 90.00
Space group P4/mmm (No. 123)
Unique sites:
Ca 0.000 0.500 0.000
Ni 0.000 0.000 0.500
Te 0.500 0.500 0.500
N 0.000 0.000 0.000

Properties
DOS(E_F) (states/eV/atom): 0.261
Final energy (eV per atom): -5.164

Density functional theory data (PBE) for a relaxed structure of CaTh2NiN4.

Lattice parameters (Å, degrees): 3.640 12.381 12.010 90.00 90.00 90.00
Space group Cmcm (No. 63)
Unique sites:
Ca 0.000 0.155 0.250
Th 0.000 0.369 0.051
Ni 0.000 0.165 0.750
N 0.000 0.000 0.000
N 0.000 0.259 0.612
N 0.000 0.380 0.250

Properties
DOS(E_F) (states/eV/atom): 0.406
Final energy (eV per atom): -7.978

Density functional theory data (PBE) for a relaxed structure of CaTi2NiN.

Lattice parameters (Å, degrees): 4.357 4.357 5.417 90.00 90.00 90.00
Space group P4/mmm (No. 123)
Unique sites:
Ca 0.000 0.000 0.000
Ti 0.000 0.500 0.500
Ni 0.000 0.000 0.500
N 0.500 0.500 0.000

Properties
DOS(E_F) (states/eV/atom): 0.637
Final energy (eV per atom): -5.377

Density functional theory data (PBE) for a relaxed structure of CaU2NiN4.

Lattice parameters (Å, degrees): 3.501 11.191 11.320 90.00 90.00 90.00
Space group Cmcm (No. 63)
Unique sites:
Ca 0.000 0.099 0.250
U 0.000 0.371 0.060
Ni 0.000 0.169 0.750
N 0.000 0.000 0.000
N 0.000 0.260 0.602
N 0.000 0.435 0.250

Properties
DOS(E_F) (states/eV/atom): 0.538
Final energy (eV per atom): -9.072

Density functional theory data (PBE) for a relaxed structure of Ca3U3NiN8.

Lattice parameters (Å, degrees): 6.8023 6.8023 16.7293 90.00 90.00 120.00
Space group R-3m (No. 166, hexagonal axes)
Unique sites:
Ca 0.0000 0.5000 0.0000
U 0.0000 0.5000 0.5000
Ni 0.0000 0.0000 0.5000
N 0.0000 0.0000 0.2417
N 0.0112 0.5056 0.7684

Properties
DOS(E_F) (states/eV/atom): 0.665
Final energy (eV per atom): -8.425

Density functional theory data (PBE) for a relaxed structure of CaZnNi2N.

Lattice parameters (Å, degrees): 4.272 4.272 5.593 90.00 90.00 90.00
Space group P4/mmm (No. 123)
Unique sites:
Ca 0.000 0.000 0.000
Zn 0.000 0.000 0.500
Ni 0.000 0.500 0.500
N 0.500 0.500 0.000

Properties
DOS(E_F) (states/eV/atom): 1.306
Final energy (eV per atom): -3.355

Density functional theory data (PBE) for a relaxed structure of CaZr2NiN4.

Lattice parameters (Å, degrees): 3.250 11.035 11.212 90.00 90.00 90.00
Space group Cmcm (No. 63)
Unique sites:
Ca 0.000 0.109 0.250
Zr 0.000 0.367 0.052
Ni 0.000 0.156 0.750
N 0.000 0.000 0.000
N 0.000 0.264 0.612
N 0.000 0.435 0.250

Properties
DOS(E_F) (states/eV/atom): 0.376
Final energy (eV per atom): -8.357

Density functional theory data (PBE) for a relaxed structure of Ca4Np3N8.

Lattice parameters (Å, degrees): 6.8554 6.8554 17.8870 90.00 90.00 120.00
Space group R-3m (No. 166, hexagonal axes)
Unique sites:
Ca 0.0000 0.0000 0.0000
Ca 0.0000 0.0000 0.1514
Ca 0.0000 0.0000 0.5000
Np 0.0000 0.5000 0.0000
N 0.0000 0.0000 0.2777
N 0.0264 0.5132 0.2669

Properties
DOS(E_F) (states/eV/atom): 0.734
Final energy (eV per atom): -8.573

Density functional theory data (PBE) for a relaxed structure of Ca2NpN.

Lattice parameters (Å, degrees): 3.4261 3.4261 29.9467 90.00 90.00 120.00
Space group R-3m (No. 166, hexagonal axes)
Unique sites:
Ca 0.0000 0.0000 0.1234
Np 0.0000 0.0000 0.0000
N 0.0000 0.0000 0.5000

Properties
DOS(E_F) (states/eV/atom): 2.172
Final energy (eV per atom): -6.389

Density functional theory data (PBE) for a relaxed structure of Ca3Np4N9.

Lattice parameters (Å, degrees): 5.8586 5.8586 24.6791 90.00 90.00 120.00
Space group R3 (No. 146, hexagonal axes)
Unique sites:
Ca 0.0000 0.0000 0.0000
Ca 0.0000 0.0000 0.1728
Ca 0.0000 0.0000 0.5967
Np 0.0000 0.0000 0.3029
Np 0.0000 0.0000 0.4327
Np 0.0000 0.0000 0.7400
Np 0.0000 0.0000 0.8688
N 0.0012 0.4165 0.5861
N 0.0183 0.5958 0.0262
N 0.0859 0.7254 0.4762

Properties
DOS(E_F) (states/eV/atom): 0.898
Final energy (eV per atom): -9.332

Density functional theory data (PBE) for a relaxed structure of CaNp2N3.

Lattice parameters (Å, degrees): 3.4845 3.4845 17.1315 90.00 90.00 120.00
Space group P6_3/mmc (No. 194)
Unique sites:
Ca 0.0000 0.0000 0.2500
Np 0.3333 0.6667 0.0831
N 0.0000 0.0000 0.0000
N 0.3333 0.6667 0.6529

Properties
DOS(E_F) (states/eV/atom): 1.813
Final energy (eV per atom): -9.927

Density functional theory data (PBE) for a relaxed structure of Ca2NpN2.

Lattice parameters (Å, degrees): 6.039 10.109 3.517 90.00 90.00 90.00
Space group Cmmm (No. 65)
Unique sites:
Ca 0.000 0.163 0.000
Np 0.000 0.500 0.500
N 0.218 0.500 0.000

Properties
DOS(E_F) (states/eV/atom): 1.395
Final energy (eV per atom): -7.383

Density functional theory data (PBE) for a relaxed structure of Ca3NpN4.

Lattice parameters (Å, degrees): 6.052 6.929 6.056 90.00 110.53 90.00
Space group P2/c (No. 13)
Unique sites:
Ca 0.000 0.121 0.250
Ca 0.000 0.376 0.750
Ca 0.500 0.124 0.750
Np 0.500 0.371 0.250
N 0.269 0.156 0.035
N 0.296 0.401 0.502

Properties
DOS(E_F) (states/eV/atom): 0.092
Final energy (eV per atom): -7.705

Density functional theory data (PBE) for a relaxed structure of Ca4NpN4.

Lattice parameters (Å, degrees): 11.740 3.538 8.677 90.00 120.88 90.00
Space group C2/m (No. 12)
Unique sites:
Ca 0.109 0.000 0.388
Ca 0.203 0.500 0.808
Np 0.000 0.500 0.000
N 0.083 0.000 0.915
N 0.178 0.500 0.264

Properties
DOS(E_F) (states/eV/atom): 0.460
Final energy (eV per atom): -7.051

Results for E_form (uncorrected): -0.902; 0.611; -1.008; -0.928; -0.664; 1.636; -0.913; -0.987; 1.003; -1.114; -0.942; 1.277; -1.085; -1.011; -0.072; -1.039; -1.117; -0.665; -1.174; -1.024 (in eV/atom, following the order of the records).